Here is a relaxed BaPtW2 crystal from the Alexandria database. Energies are from PBE.

It has space group P4/mmm (No. 123), with a = 3.475 Å, b = 3.475 Å, c = 7.646 Å, α = 90.00°, β = 90.00° and γ = 90.00°. Symmetry generates all atoms from Ba at (0.000, 0.000, 0.000), Pt at (0.000, 0.000, 0.500) and W at (0.500, 0.500, 0.345).

The calculation puts the total energy at -7.682 eV/atom. For the total moment, the calculation gives 0.00 Bohr magnetons per cell. For the polymorph energy (0 for the lowest one), the calculation gives 359 meV/atom.



Here is a relaxed Ac4YCd5 crystal from the Alexandria database. Energies are from PBE.

It has space group P4/mmm (No. 123), with a = 3.998 Å, b = 3.998 Å, c = 20.196 Å, α = 90.00°, β = 90.00° and γ = 90.00°. Symmetry generates all atoms from Ac at (0.000, 0.000, 0.103), Ac at (0.000, 0.000, 0.310), Y at (0.000, 0.000, 0.500), Cd at (0.500, 0.500, 0.000), Cd at (0.500, 0.500, 0.206) and Cd at (0.500, 0.500, 0.418).

The calculation puts the total energy at -3.039 eV/atom. For the total moment, the calculation gives 0.07 Bohr magnetons per cell.



Here is a relaxed Nd2DyCu4 crystal from the Alexandria database. Energies are from PBE.

It has space group I4/mmm (No. 139), with a = 5.175 Å, b = 5.175 Å, c = 11.884 Å, α = 90.00°, β = 90.00° and γ = 90.00°. Symmetry generates all atoms from Nd at (0.000, 0.000, 0.208), Dy at (0.000, 0.000, 0.500) and Cu at (0.000, 0.500, 0.108).

The calculation puts the total energy at -4.349 eV/atom. For the total moment, the calculation gives 0.00 Bohr magnetons per cell.



Here is a relaxed SiSbAs crystal from the Alexandria database. Energies are from PBE.

It has space group F-43m (No. 216), with a = 6.534 Å, b = 6.534 Å, c = 6.534 Å, α = 90.00°, β = 90.00° and γ = 90.00°. Symmetry generates all atoms from Si at (0.000, 0.000, 0.000), Sb at (0.250, 0.250, 0.750) and As at (0.250, 0.250, 0.250).

The calculation puts the total energy at -4.241 eV/atom. For the total moment, the calculation gives 0.00 Bohr magnetons per cell. For the polymorph energy (0 for the lowest one), the calculation gives 303 meV/atom. The raw formation energy is 0.49 eV per atom.



Here is a relaxed NdSm3Te4 crystal from the Alexandria database. Energies are from PBE.

It has space group Cmmm (No. 65), with a = 9.001 Å, b = 12.611 Å, c = 4.415 Å, α = 90.00°, β = 90.00° and γ = 90.00°. Symmetry generates all atoms from Nd at (0.000, 0.000, 0.000), Sm at (0.000, 0.500, 0.000), Sm at (0.250, 0.250, 0.500), Te at (0.000, 0.251, 0.000) and Te at (0.247, 0.500, 0.500).

The calculation puts the total energy at -5.328 eV/atom. For the total moment, the calculation gives 0.00 Bohr magnetons per cell. For the polymorph energy (0 for the lowest one), the calculation gives 0 meV/atom. The raw formation energy is -1.39 eV per atom.



Here is a relaxed SmAl2GaAu4 crystal from the Alexandria database. Energies are from PBE.

It has space group R-3m (No. 166, hexagonal axes), with a = 4.3860 Å, b = 4.3860 Å, c = 28.0912 Å, α = 90.00°, β = 90.00° and γ = 120.00°. Symmetry generates all atoms from Sm at (0.0000, 0.0000, 0.0000), Al at (0.0000, 0.0000, 0.2457), Ga at (0.0000, 0.0000, 0.5000), Au at (0.0000, 0.0000, 0.1259) and Au at (0.0000, 0.0000, 0.3961).

The calculation puts the total energy at -4.034 eV/atom. For the total moment, the calculation gives 0.00 Bohr magnetons per cell.



What is the total moment in the fifth record?
0.00 Bohr magnetons per cell



Which of these has the highest total moment?
Ac4YCd5